Record 1
DFT (PBE) results for a relaxed Ac3Tl2Pb3Au crystal. Values from VASP.

DOS(E_F) in states/eV/cell: 7.16
E_form in kJ/mol of atoms: -38.52

```
&SYSTEM
  ibrav = 0, nat = 9, ntyp = 4
/
ATOMIC_SPECIES
Ac 227.00 Ac.upf
Tl 204.38 Tl.upf
Pb 207.20 Pb.upf
Au 196.97 Au.upf
CELL_PARAMETERS angstrom
9.335 0.000 0.000
-4.668 8.085 0.000
0.000 0.000 3.953
ATOMIC_POSITIONS crystal
Ac 0.000 0.729 0.000
Ac 0.271 0.271 0.000
Ac 0.729 0.000 0.000
Tl 0.333 0.667 0.000
Tl 0.667 0.333 0.000
Pb 0.000 0.394 0.500
Pb 0.394 0.000 0.500
Pb 0.606 0.606 0.500
Au 0.000 0.000 0.500
```

Record 2
DFT (PBE) results for a relaxed NaBeAl3 crystal. Values from VASP.

DOS(E_F) in states/eV/cell: 2.60
Offset from the most stable computed form in meV/atom: 1143
E_form in kJ/mol of atoms: 147.85

```
&SYSTEM
  ibrav = 0, nat = 5, ntyp = 3
/
ATOMIC_SPECIES
Na 22.99 Na.upf
Be 9.01 Be.upf
Al 26.98 Al.upf
CELL_PARAMETERS angstrom
5.067 0.000 0.000
0.000 5.067 0.000
0.000 0.000 5.067
ATOMIC_POSITIONS crystal
Na 0.000 0.000 0.000
Be 0.500 0.500 0.500
Al 0.000 0.000 0.500
Al 0.000 0.500 0.000
Al 0.500 0.000 0.000
```

Record 3
DFT (PBE) results for a relaxed Pa2AlAg crystal. Values from VASP.

DOS(E_F) in states/eV/cell: 6.27
Offset from the most stable computed form in meV/atom: 7
E_form in kJ/mol of atoms: 1.38

```
&SYSTEM
  ibrav = 0, nat = 4, ntyp = 3
/
ATOMIC_SPECIES
Pa 231.04 Pa.upf
Al 26.98 Al.upf
Ag 107.87 Ag.upf
CELL_PARAMETERS angstrom
4.268 0.000 0.000
0.000 4.268 0.000
0.000 0.000 4.746
ATOMIC_POSITIONS crystal
Pa 0.000 0.500 0.000
Pa 0.500 0.000 0.000
Al 0.000 0.000 0.500
Ag 0.500 0.500 0.500
```